Entry 1:
SiGeTe2I, relaxed, DFT GGA-PBE; energy above the most stable polymorph in this dataset = 211 meV/atom; size of the total moment = 0.0 μB per formula unit; formation energy (no corrections) = 0.711 eV per atom
1.0
5.434 0.000 0.000
0.000 5.434 0.000
0.000 0.000 5.562
Si Ge Te I
1 1 2 1
Direct
0.000 0.000 0.000 Si
0.500 0.500 0.500 Ge
0.000 0.500 0.500 Te
0.500 0.000 0.500 Te
0.500 0.500 0.000 I

Entry 2:
PaNbReTc, relaxed, DFT GGA-PBE; formation energy = -0.109 eV per atom; size of the total moment = 0.0 μB per formula unit
1.0
0.000 3.324 3.324
3.324 0.000 3.324
3.324 3.324 0.000
Pa Nb Re Tc
1 1 1 1
Direct
0.000 0.000 0.000 Pa
0.500 0.500 0.500 Nb
0.750 0.750 0.750 Re
0.250 0.250 0.250 Tc

Entry 3:
Y2BiAu2, relaxed, DFT GGA-PBE; energy above the most stable polymorph in this dataset = 234 meV/atom; formation energy = -0.574 eV per atom; size of the total moment = 0.0 μB per formula unit
1.0
-1.987 1.987 8.268
1.987 -1.987 8.268
1.987 1.987 -8.268
Y Bi Au
2 1 2
Direct
0.110 0.110 0.000 Y
0.890 0.890 0.000 Y
0.500 0.500 0.000 Bi
0.250 0.750 0.500 Au
0.750 0.250 0.500 Au

- Look up the size of the total moment of the first one.
  0.0 μB per formula unit